(P)
Density functional theory data (PBE) for a relaxed NiTe2IrI crystal.

Lattice parameters (Å, degrees): 5.1949 5.1949 5.5573 90.00 90.00 90.00
Closest atoms and distances in Å follow each position.
Fractional coordinates of all 5 atoms:
Ni 0.0000 0.0000 0.0000  4 I 3.67, 8 Te 3.80
Te 0.0000 0.5000 0.5000  2 Ir 2.60
Te 0.5000 0.0000 0.5000  2 Ir 2.60
Ir 0.5000 0.5000 0.5000  4 Te 2.60, 2 I 2.78
I 0.5000 0.5000 0.0000  2 Ir 2.78

Computed properties:
Magnetic moment: 1.30 μB per cell
Calculated volume: 29.99 Å³/atom



(Q)
Density functional theory data (PBE) for a relaxed NiTe2IrI crystal.

Lattice parameters (Å, degrees): 4.9379 4.9379 5.0052 90.00 90.00 90.00
Closest atoms and distances in Å follow each position.
Fractional coordinates of all 5 atoms:
Ni 0.0000 0.0000 0.0000  4 Te 2.47, 2 I 2.50
Te 0.0000 0.5000 0.0000  2 Ni 2.47
Te 0.5000 0.0000 0.0000  2 Ni 2.47
Ir 0.5000 0.5000 0.5000  4 I 3.49, 8 Te 3.52
I 0.0000 0.0000 0.5000  2 Ni 2.50

Computed properties:
Magnetic moment: 0.00 μB per cell
Calculated volume: 24.41 Å³/atom



The most stable of them is (P).



(P)
Density functional theory data (PBE) for a relaxed IrI3O crystal.

Lattice parameters (Å, degrees): 4.9813 4.9813 4.9813 90.00 90.00 90.00
Closest atoms and distances in Å follow each position.
Fractional coordinates of all 5 atoms:
Ir 0.0000 0.0000 0.0000  12 I 3.52
I 0.0000 0.5000 0.5000  2 O 2.49
I 0.5000 0.0000 0.5000  2 O 2.49
I 0.5000 0.5000 0.0000  2 O 2.49
O 0.5000 0.5000 0.5000  6 I 2.49

Computed properties:
Magnetic moment: 2.52 μB per cell
Calculated volume: 24.72 Å³/atom



(Q)
Density functional theory data (PBE) for a relaxed IrI3O crystal.

Lattice parameters (Å, degrees): 5.3670 5.3670 5.3670 90.00 90.00 90.00
Closest atoms and distances in Å follow each position.
Fractional coordinates of all 5 atoms:
Ir 0.0000 0.0000 0.0000  6 I 2.68
I 0.0000 0.0000 0.5000  2 Ir 2.68
I 0.0000 0.5000 0.0000  2 Ir 2.68
I 0.5000 0.0000 0.0000  2 Ir 2.68
O 0.5000 0.5000 0.5000  12 I 3.80

Computed properties:
Magnetic moment: 0.00 μB per cell
Calculated volume: 30.92 Å³/atom



The most stable of them is (Q).



(P)
Density functional theory data (PBE) for a relaxed IrOsI2O crystal.

Lattice parameters (Å, degrees): 5.4432 5.4432 3.6464 90.00 90.00 90.00
Closest atoms and distances in Å follow each position.
Fractional coordinates of all 5 atoms:
Ir 0.0000 0.0000 0.0000  2 O 1.82
Os 0.5000 0.5000 0.5000  8 I 3.28, 2 Os 3.65
I 0.0000 0.5000 0.0000  2 Ir 2.72
I 0.5000 0.0000 0.0000  2 Ir 2.72
O 0.0000 0.0000 0.5000  2 Ir 1.82

Computed properties:
Magnetic moment: 0.92 μB per cell
Calculated volume: 21.61 Å³/atom



(Q)
Density functional theory data (PBE) for a relaxed IrOsI2O crystal.

Lattice parameters (Å, degrees): 5.4006 5.4006 3.6681 90.00 90.00 90.00
Closest atoms and distances in Å follow each position.
Fractional coordinates of all 5 atoms:
Ir 0.0000 0.0000 0.0000  8 I 3.26
Os 0.5000 0.5000 0.5000  2 O 1.83
I 0.0000 0.5000 0.5000  2 Os 2.70
I 0.5000 0.0000 0.5000  2 Os 2.70
O 0.5000 0.5000 0.0000  2 Os 1.83

Computed properties:
Magnetic moment: 0.00 μB per cell
Calculated volume: 21.40 Å³/atom



The most stable of them is (Q).



(P)
Density functional theory data (PBE) for a relaxed PIrI2O crystal.

Lattice parameters (Å, degrees): 5.3714 5.3714 3.4200 90.00 90.00 90.00
Closest atoms and distances in Å follow each position.
Fractional coordinates of all 5 atoms:
P 0.0000 0.0000 0.0000  2 O 1.71
Ir 0.5000 0.5000 0.5000  8 I 3.18, 2 Ir 3.42
I 0.0000 0.5000 0.0000  2 P 2.69
I 0.5000 0.0000 0.0000  2 P 2.69
O 0.0000 0.0000 0.5000  2 P 1.71

Computed properties:
Magnetic moment: 0.00 μB per cell
Calculated volume: 19.73 Å³/atom



(Q)
Density functional theory data (PBE) for a relaxed PIrI2O crystal.

Lattice parameters (Å, degrees): 5.5653 5.5653 3.7262 90.00 90.00 90.00
Closest atoms and distances in Å follow each position.
Fractional coordinates of all 5 atoms:
P 0.0000 0.0000 0.0000  8 I 3.35, 2 P 3.73
Ir 0.5000 0.5000 0.5000  2 O 1.86
I 0.0000 0.5000 0.5000  2 Ir 2.78
I 0.5000 0.0000 0.5000  2 Ir 2.78
O 0.5000 0.5000 0.0000  2 Ir 1.86

Computed properties:
Magnetic moment: 0.00 μB per cell
Calculated volume: 23.08 Å³/atom



The most stable of them is (Q).